# PrSm5Y2Tm | Alexandria | GGA-PBE | optimized geometry
# Mass density: 6.7 g/cm³
# DFT formation energy: 0.15 eV/atom
data_PrSm5Y2Tm
_chemical_formula_sum 'Pr4 Sm20 Y8 Tm4'
_space_group_name_H-M_alt 'C m c 21'
_space_group_IT_number 36
_space_group_name_Hall 'C 2c -2'
_cell_length_a 5.7031
_cell_length_b 20.1906
_cell_length_c 10.6187
_cell_angle_alpha 90.00
_cell_angle_beta 90.00
_cell_angle_gamma 90.00
loop_
_atom_site_label
_atom_site_type_symbol
_atom_site_fract_x
_atom_site_fract_y
_atom_site_fract_z
Pr1 Pr 0.0000 0.0864 0.0000
Sm1 Sm 0.0000 0.0198 0.2858
Sm2 Sm 0.0000 0.1134 0.5674
Sm3 Sm 0.0000 0.2024 0.2523
Sm4 Sm 0.0000 0.2193 0.8592
Sm5 Sm 0.0000 0.4816 0.5667
Y1 Y 0.0000 0.3848 0.8643
Y2 Y 0.0000 0.3868 0.2779
Tm1 Tm 0.0000 0.2998 0.5566


# Pr2Sm2YTm | Alexandria | GGA-PBE | optimized geometry
# Mass density: 6.9 g/cm³
# DFT formation energy: 0.06 eV/atom
data_Pr2Sm2YTm
_chemical_formula_sum 'Pr4 Sm4 Y2 Tm2'
_space_group_name_H-M_alt 'P m c 21'
_space_group_IT_number 26
_space_group_name_Hall 'P 2c -2'
_cell_length_a 5.7101
_cell_length_b 9.9204
_cell_length_c 7.1070
_cell_angle_alpha 90.00
_cell_angle_beta 90.00
_cell_angle_gamma 90.00
loop_
_atom_site_label
_atom_site_type_symbol
_atom_site_fract_x
_atom_site_fract_y
_atom_site_fract_z
Pr1 Pr 0.0000 0.0004 0.0000
Pr2 Pr 0.5000 0.1760 0.2503
Sm1 Sm 0.0000 0.3324 0.2498
Sm2 Sm 0.5000 0.1636 0.7499
Y1 Y 0.5000 0.4998 0.9997
Tm1 Tm 0.0000 0.3402 0.7496


# Pr2SmY6Tm3 | Alexandria | GGA-PBE | optimized geometry
# Mass density: 6.3 g/cm³
# DFT formation energy: 0.02 eV/atom
data_Pr2SmY6Tm3
_chemical_formula_sum 'Pr4 Sm2 Y12 Tm6'
_space_group_name_H-M_alt 'C 1 2/m 1'
_space_group_IT_number 12
_space_group_name_Hall '-C 2y'
_cell_length_a 6.2090
_cell_length_b 10.7464
_cell_length_c 11.8402
_cell_angle_alpha 90.00
_cell_angle_beta 100.04
_cell_angle_gamma 90.00
loop_
_atom_site_label
_atom_site_type_symbol
_atom_site_fract_x
_atom_site_fract_y
_atom_site_fract_z
Pr1 Pr 0.0000 0.1667 0.0000
Sm1 Sm 0.0000 0.5000 0.0000
Y1 Y 0.2483 0.1665 0.7450
Y2 Y 0.2476 0.5000 0.7450
Tm1 Tm 0.0000 0.0000 0.5000
Tm2 Tm 0.0000 0.3334 0.5000


# Pr2SmYTm | Alexandria | GGA-PBE | optimized geometry
# Mass density: 6.4 g/cm³
# DFT formation energy: 0.35 eV/atom
data_Pr2SmYTm
_chemical_formula_sum 'Pr8 Sm4 Y4 Tm4'
_space_group_name_H-M_alt 'C m c m'
_space_group_IT_number 63
_space_group_name_Hall '-C 2c 2'
_cell_length_a 11.0729
_cell_length_b 9.4810
_cell_length_c 6.8615
_cell_angle_alpha 90.00
_cell_angle_beta 90.00
_cell_angle_gamma 90.00
loop_
_atom_site_label
_atom_site_type_symbol
_atom_site_fract_x
_atom_site_fract_y
_atom_site_fract_z
Pr1 Pr 0.2484 0.0000 0.0000
Sm1 Sm 0.0000 0.3997 0.2500
Y1 Y 0.0000 0.2486 0.7500
Tm1 Tm 0.0000 0.0871 0.2500